# 1
HfMnSi3: optimized geometry, GGA-PBEsol.

Cell: 4.332 4.332 4.332 Å, 90.00 90.00 90.00°
Space group Pm-3m (No. 221)
Unique sites:
1 Hf 0.000 0.000 0.000
2 Mn 0.500 0.500 0.500
3 Si 0.000 0.500 0.500

Results
As for the magnetization: 1.32 μB/cell. The value obtained for the total energy is -7.186 eV per atom.



# 2
HfMnSi2: optimized geometry, GGA-PBEsol.

Cell: 8.854 9.662 7.786 Å, 90.00 90.00 90.00°
Space group Pbam (No. 55)
Unique sites:
1 Hf 0.168 0.179 0.000
2 Hf 0.174 0.452 0.246
3 Mn 0.000 0.000 0.244
4 Mn 0.084 0.746 0.248
5 Si 0.038 0.620 0.000
6 Si 0.041 0.625 0.500
7 Si 0.111 0.897 0.500
8 Si 0.125 0.894 0.000
9 Si 0.165 0.181 0.349

Results
As for the magnetization: 9.59 μB/cell. The value obtained for the total energy is -8.683 eV per atom.



# 3
Hf2MnSi2: optimized geometry, GGA-PBEsol.

Cell: 6.252 6.252 3.965 Å, 90.00 90.00 90.00°
Space group P4/mbm (No. 127)
Unique sites:
1 Hf 0.173 0.327 0.000
2 Mn 0.000 0.000 0.500
3 Si 0.136 0.636 0.500

Results
As for the magnetization: 2.55 μB/cell. The value obtained for the total energy is -9.191 eV per atom.



# 4
Sr3HfMn: optimized geometry, GGA-PBEsol.

Cell: 5.719 5.719 5.719 Å, 90.00 90.00 90.00°
Space group Pm-3m (No. 221)
Unique sites:
1 Sr 0.000 0.000 0.500
2 Hf 0.500 0.500 0.500
3 Mn 0.000 0.000 0.000

Results
The formation energy comes out at 1.1479 eV/atom. As for the magnetization: 1.10 μB/cell.



# 5
Sr3HfMn: optimized geometry, GGA-PBEsol.

Cell: 5.953 5.953 5.953 Å, 90.00 90.00 90.00°
Space group Pm-3m (No. 221)
Unique sites:
1 Sr 0.000 0.000 0.500
2 Hf 0.000 0.000 0.000
3 Mn 0.500 0.500 0.500

Results
The formation energy comes out at 1.4208 eV/atom. As for the magnetization: 4.21 μB/cell.



# 6
HfTi2MnTc: optimized geometry, GGA-PBEsol.

Cell: 4.610 4.610 4.932 Å, 90.00 90.00 90.00°
Space group P4/mmm (No. 123)
Unique sites:
1 Hf 0.000 0.000 0.000
2 Ti 0.000 0.500 0.500
3 Mn 0.500 0.500 0.000
4 Tc 0.000 0.000 0.500

Results
The formation energy comes out at 0.8094 eV/atom. As for the magnetization: 2.93 μB/cell.



# 7
HfTiMn3: optimized geometry, GGA-PBEsol.

Cell: 4.537 4.537 4.537 Å, 90.00 90.00 90.00°
Space group Pm-3m (No. 221)
Unique sites:
1 Hf 0.000 0.000 0.000
2 Ti 0.500 0.500 0.500
3 Mn 0.000 0.000 0.500

Results
The formation energy comes out at 1.4791 eV/atom. As for the magnetization: 6.50 μB/cell.



# 8
HfMnZn3: optimized geometry, GGA-PBEsol.

Cell: 5.001 5.001 5.001 Å, 90.00 90.00 90.00°
Space group Pm-3m (No. 221)
Unique sites:
1 Hf 0.000 0.000 0.000
2 Mn 0.500 0.500 0.500
3 Zn 0.000 0.000 0.500

Results
The formation energy comes out at 1.4330 eV/atom. As for the magnetization: 3.51 μB/cell.



# 9
HfMo2: optimized geometry, GGA-PBEsol.

Cell: 7.486 7.486 7.486 Å, 90.00 90.00 90.00°
Space group Fd-3m (No. 227, origin choice 2)
Unique sites:
1 Hf 0.125 0.125 0.125
2 Mo 0.000 0.000 0.500

Results
The formation energy comes out at -0.1620 eV/atom. As for the magnetization: 0.00 μB/cell.



# 10
HfMo2: optimized geometry, GGA-PBEsol.

Cell: 5.3039 5.3039 17.2075 Å, 90.00 90.00 120.00°
Space group P6_3/mmc (No. 194)
Unique sites:
1 Hf 0.0000 0.0000 0.0948
2 Hf 0.3333 0.6667 0.1563
3 Mo 0.0000 0.5000 0.0000
4 Mo 0.1634 0.3269 0.7500
5 Mo 0.3333 0.6667 0.6237

Results
The formation energy comes out at -0.1531 eV/atom. As for the magnetization: 0.00 μB/cell.



# 11
HfMo3N: optimized geometry, GGA-PBEsol.

Cell: 4.679 4.679 4.679 Å, 90.00 90.00 90.00°
Space group Pm-3m (No. 221)
Unique sites:
1 Hf 0.000 0.000 0.000
2 Mo 0.000 0.000 0.500
3 N 0.500 0.500 0.500

Results
As for the magnetization: 0.00 μB/cell. The value obtained for the total energy is -7.589 eV per atom.



# 12
Na2HfMo2: optimized geometry, GGA-PBEsol.

Cell: 3.367 3.367 22.595 Å, 90.00 90.00 90.00°
Space group I4/mmm (No. 139)
Unique sites:
1 Na 0.000 0.000 0.120
2 Hf 0.000 0.000 0.500
3 Mo 0.000 0.500 0.250

Results
The formation energy comes out at 1.2195 eV/atom. As for the magnetization: 1.34 μB/cell.



# 13
Na8HfMo6O24: optimized geometry, GGA-PBEsol.

Cell: 9.708 11.421 11.801 Å, 90.00 118.28 90.00°
Space group P2_1/c (No. 14)
Unique sites:
1 Na 0.083 0.216 0.400
2 Na 0.167 0.533 0.370
3 Na 0.275 0.683 0.692
4 Na 0.338 0.067 0.710
5 Hf 0.500 0.000 0.500
6 Mo 0.104 0.601 0.913
7 Mo 0.225 0.109 0.180
8 Mo 0.488 0.184 0.002
9 O 0.069 0.019 0.645
10 O 0.082 0.115 0.229
11 O 0.105 0.704 0.022
12 O 0.108 0.673 0.784
13 O 0.173 0.000 0.063
14 O 0.248 0.245 0.122
15 O 0.281 0.508 0.992
16 O 0.288 0.154 0.910
17 O 0.408 0.061 0.316
18 O 0.413 0.586 0.371
19 O 0.435 0.672 0.603
20 O 0.476 0.668 0.928

Results
As for the magnetization: 0.00 μB/cell. The value obtained for the total energy is -7.756 eV per atom.



# 14
NaHfZrMo2: optimized geometry, GGA-PBEsol.

Cell: 4.670 4.670 4.520 Å, 90.00 90.00 90.00°
Space group P4/mmm (No. 123)
Unique sites:
1 Na 0.000 0.000 0.000
2 Hf 0.500 0.500 0.500
3 Zr 0.000 0.000 0.500
4 Mo 0.000 0.500 0.000

Results
The formation energy comes out at 2.0516 eV/atom. As for the magnetization: 0.81 μB/cell.



# 15
Hf2NbMo: optimized geometry, GGA-PBEsol.

Cell: 6.643 6.643 6.643 Å, 90.00 90.00 90.00°
Space group Fm-3m (No. 225)
Unique sites:
1 Hf 0.250 0.250 0.250
2 Nb 0.000 0.000 0.000
3 Mo 0.000 0.000 0.500

Results
The formation energy comes out at 0.0778 eV/atom. As for the magnetization: 0.00 μB/cell.



# 16
HfZrNb2Mo: optimized geometry, GGA-PBEsol.

Cell: 4.824 4.824 4.659 Å, 90.00 90.00 90.00°
Space group P4/mmm (No. 123)
Unique sites:
1 Hf 0.000 0.000 0.000
2 Zr 0.500 0.500 0.500
3 Nb 0.000 0.500 0.500
4 Mo 0.500 0.500 0.000

Results
The formation energy comes out at 1.5300 eV/atom. As for the magnetization: 0.00 μB/cell.



# 17
HfMo3O: optimized geometry, GGA-PBEsol.

Cell: 4.710 4.710 4.710 Å, 90.00 90.00 90.00°
Space group Pm-3m (No. 221)
Unique sites:
1 Hf 0.000 0.000 0.000
2 Mo 0.000 0.000 0.500
3 O 0.500 0.500 0.500

Results
As for the magnetization: 0.09 μB/cell. The value obtained for the total energy is -7.423 eV per atom.



# 18
HfMoO2: optimized geometry, GGA-PBEsol.

Cell: 5.567 5.567 5.567 Å, 90.00 90.00 90.00°
Space group Fm-3m (No. 225)
Unique sites:
1 Hf 0.000 0.000 0.000
2 Mo 0.000 0.000 0.500
3 O 0.250 0.250 0.250

Results
As for the magnetization: 0.00 μB/cell. The value obtained for the total energy is -9.256 eV per atom.



# 19
HfTcMoOs2: optimized geometry, GGA-PBEsol.

Cell: 4.611 4.611 4.504 Å, 90.00 90.00 90.00°
Space group P4/mmm (No. 123)
Unique sites:
1 Hf 0.000 0.000 0.000
2 Tc 0.500 0.500 0.000
3 Mo 0.500 0.500 0.500
4 Os 0.000 0.500 0.500

Results
The formation energy comes out at 1.4834 eV/atom. As for the magnetization: 0.00 μB/cell.